Record 1
## Ba2ReTe (PBE)

Data for an optimized crystal structure of Ba2ReTe.

abc: 5.598 5.598 5.598
angles: 60.00 60.00 60.00
Sites, in units of the cell vectors:
Ba 0.000 0.000 0.000
Ba 0.250 0.250 0.250
Re 0.500 0.500 0.500
Te 0.750 0.750 0.750

Values from the calculation:
SG	F-43m (216)
crystal system	cubic

***

Record 2
## BaRe2Te (PBE)

Data for an optimized crystal structure of BaRe2Te.

abc: 3.008 5.309 5.707
angles: 90.00 90.00 90.00
Sites, in units of the cell vectors:
Ba 0.000 0.500 0.500
Re 0.000 0.000 0.000
Re 0.500 0.500 0.000
Te 0.500 0.000 0.500

Values from the calculation:
SG	Pmmm (47)
crystal system	orthorhombic

***

Table of ΔE_f (raw) (meV per atom), in record order: 619 1400